Entry 1:
DFT (SCAN) results for Ba3SmB24 at its PBEsol-relaxed geometry.

```
Ba3SmB24
1.0
4.208 0.000 0.000
0.000 4.208 0.000
0.000 0.000 16.857
Ba Sm B
3 1 24
Cartesian
0.000 0.000 0.000
0.000 0.000 4.233
0.000 0.000 12.623
0.000 0.000 8.428
0.851 2.104 6.389
0.851 2.104 10.468
0.858 2.104 2.128
0.858 2.104 14.728
2.104 0.851 6.389
2.104 0.851 10.468
2.104 0.858 2.128
2.104 0.858 14.728
2.104 2.104 0.873
2.104 2.104 3.383
2.104 2.104 5.122
2.104 2.104 7.609
2.104 2.104 9.247
2.104 2.104 11.735
2.104 2.104 13.474
2.104 2.104 15.984
2.104 3.350 2.128
2.104 3.350 14.728
2.104 3.358 6.389
2.104 3.358 10.468
3.350 2.104 2.128
3.350 2.104 14.728
3.358 2.104 6.389
3.358 2.104 10.468
```

Calculated values
energy relative to the elements	-497	meV/atom
space group	No. 123

***

Entry 2:
DFT (SCAN) results for Ba3TaB at its PBEsol-relaxed geometry.

```
Ba3TaB
1.0
5.723 0.000 0.000
0.000 5.723 0.000
0.000 0.000 5.723
Ba Ta B
3 1 1
Cartesian
0.000 0.000 2.862
0.000 2.862 0.000
2.862 0.000 0.000
2.862 2.862 2.862
0.000 0.000 0.000
```

Calculated values
energy relative to the elements	1262	meV/atom
space group	No. 221

***

Entry 3:
DFT (SCAN) results for Ba2BTe at its PBEsol-relaxed geometry.

```
Ba2BTe
1.0
-4.204 4.204 4.110
4.204 -4.204 4.110
4.204 4.204 -4.110
Ba B Te
4 2 2
Cartesian
2.102 1.738 -1.028
2.466 -2.102 5.138
2.102 2.466 3.083
1.738 6.306 1.028
0.000 0.000 0.000
0.000 4.204 2.055
4.204 0.000 2.055
0.000 0.000 4.110
```

Calculated values
energy relative to the elements, uncorrected	-232	meV per atom
space group	No. 122

***

Entry 4:
DFT (SCAN) results for BaBW3 at its PBEsol-relaxed geometry.

```
BaBW3
1.0
4.437 0.000 0.000
0.000 4.437 0.000
0.000 0.000 4.437
Ba B W
1 1 3
Cartesian
0.000 0.000 0.000
2.218 2.218 2.218
0.000 2.218 2.218
2.218 0.000 2.218
2.218 2.218 0.000
```

Calculated values
energy relative to the elements	1502	meV/atom
space group	No. 221

***

Entry 5:
DFT (SCAN) results for BaYB3 at its PBEsol-relaxed geometry.

```
BaYB3
1.0
4.772 0.000 0.000
0.000 4.772 0.000
0.000 0.000 4.772
Ba Y B
1 1 3
Cartesian
0.000 0.000 0.000
2.386 2.386 2.386
0.000 2.386 2.386
2.386 0.000 2.386
2.386 2.386 0.000
```

Calculated values
energy relative to the elements	1372	meV/atom
space group	No. 221

***

Entry 6:
DFT (SCAN) results for Ba3ZnB at its PBEsol-relaxed geometry.

```
Ba3ZnB
1.0
6.109 0.000 0.000
0.000 6.109 0.000
0.000 0.000 6.109
Ba Zn B
3 1 1
Cartesian
0.000 0.000 3.054
0.000 3.054 0.000
3.054 0.000 0.000
0.000 0.000 0.000
3.054 3.054 3.054
```

Calculated values
energy relative to the elements	904	meV/atom
space group	No. 221

***

Entry 7:
DFT (SCAN) results for BaZnB3 at its PBEsol-relaxed geometry.

```
BaZnB3
1.0
4.306 0.000 0.000
0.000 4.306 0.000
0.000 0.000 4.306
Ba Zn B
1 1 3
Cartesian
0.000 0.000 0.000
2.153 2.153 2.153
0.000 2.153 2.153
2.153 0.000 2.153
2.153 2.153 0.000
```

Calculated values
energy relative to the elements	1416	meV/atom
space group	No. 221

***

Entry 8:
DFT (SCAN) results for Ba3ZrB at its PBEsol-relaxed geometry.

```
Ba3ZrB
1.0
5.801 0.000 0.000
0.000 5.801 0.000
0.000 0.000 5.801
Ba Zr B
3 1 1
Cartesian
0.000 0.000 2.901
0.000 2.901 0.000
2.901 0.000 0.000
2.901 2.901 2.901
0.000 0.000 0.000
```

Calculated values
energy relative to the elements	894	meV/atom
space group	No. 221

***

Entry 9:
DFT (SCAN) results for Be4B at its PBEsol-relaxed geometry.

```
Be4B
1.0
3.341 0.000 0.000
0.000 3.341 0.000
0.000 0.000 6.986
Be B
8 2
Cartesian
0.835 0.835 0.130
0.835 2.506 1.364
0.835 2.506 3.493
0.835 2.506 5.621
2.506 0.835 1.364
2.506 0.835 3.493
2.506 0.835 5.621
2.506 2.506 6.856
0.835 0.835 2.310
2.506 2.506 4.676
```

Calculated values
energy relative to the elements	-12	meV/atom
space group	No. 129

***

Entry 10:
DFT (SCAN) results for BeBiB3 at its PBEsol-relaxed geometry.

```
BeBiB3
1.0
3.943 0.000 0.000
0.000 3.943 0.000
0.000 0.000 3.943
Be Bi B
1 1 3
Cartesian
0.000 0.000 0.000
1.971 1.971 1.971
0.000 0.000 1.971
0.000 1.971 0.000
1.971 0.000 0.000
```

Calculated values
energy relative to the elements	1733	meV/atom
space group	No. 221

***

Entry 11:
DFT (SCAN) results for BeBi2B at its PBEsol-relaxed geometry.

```
BeBi2B
1.0
-2.845 2.845 5.485
2.845 -2.845 5.485
2.845 2.845 -5.485
Be Bi B
2 4 2
Cartesian
0.000 0.000 0.000
0.000 2.845 2.742
1.422 -1.326 4.114
1.519 1.422 1.371
1.422 4.171 -1.371
1.326 1.422 6.856
2.845 0.000 2.742
0.000 0.000 5.485
```

Calculated values
energy relative to the elements	670	meV/atom
space group	No. 122

***

Entry 12:
DFT (SCAN) results for BeBi2BPt at its PBEsol-relaxed geometry.

```
BeBi2BPt
1.0
5.095 0.000 0.000
0.000 5.095 0.000
0.000 0.000 3.983
Be Bi B Pt
1 2 1 1
Cartesian
0.000 0.000 0.000
0.000 2.547 1.991
2.547 0.000 1.991
2.547 2.547 1.991
2.547 2.547 0.000
```

Calculated values
energy relative to the elements	808	meV/atom
space group	No. 123

***

Entry 13:
DFT (SCAN) results for BeTlBiB2 at its PBEsol-relaxed geometry.

```
BeTlBiB2
1.0
4.132 0.000 0.000
0.000 4.132 0.000
0.000 0.000 5.087
Be Tl Bi B
1 1 1 2
Cartesian
0.000 0.000 0.000
0.000 0.000 2.543
2.066 2.066 2.543
0.000 2.066 0.000
2.066 0.000 0.000
```

Calculated values
energy relative to the elements	1452	meV/atom
space group	No. 123